The following is a DFT calculation (PBE) of a geometry-optimized NdMgZn2 structure.

Structure (CIF):
```
data_NdMgZn2
_symmetry_space_group_name_H-M 'P 4/m m m'
_symmetry_Int_Tables_number 123
_symmetry_space_group_name_Hall '-P 4 2'
_cell_length_a 4.892
_cell_length_b 4.892
_cell_length_c 3.732
_cell_angle_alpha 90.00
_cell_angle_beta 90.00
_cell_angle_gamma 90.00
loop_
_atom_site_label
_atom_site_type_symbol
_atom_site_fract_x
_atom_site_fract_y
_atom_site_fract_z
Nd1 Nd 0.000 0.000 0.000
Mg1 Mg 0.500 0.500 0.000
Zn1 Zn 0.000 0.500 0.500
```

Calculated values
Magnetization = 0.00 μB/f.u.
Energy above the most stable polymorph in this dataset = 0.1389 eV per atom
Energy of formation from the pure elements = -0.198 eV/atom

=====

The following is a DFT calculation (PBE) of a geometry-optimized Nd3Mg2Zn structure.

Structure (CIF):
```
data_Nd3Mg2Zn
_symmetry_space_group_name_H-M 'P 4/m m m'
_symmetry_Int_Tables_number 123
_symmetry_space_group_name_Hall '-P 4 2'
_cell_length_a 3.782
_cell_length_b 3.782
_cell_length_c 11.697
_cell_angle_alpha 90.00
_cell_angle_beta 90.00
_cell_angle_gamma 90.00
loop_
_atom_site_label
_atom_site_type_symbol
_atom_site_fract_x
_atom_site_fract_y
_atom_site_fract_z
Nd1 Nd 0.000 0.000 0.000
Nd2 Nd 0.000 0.000 0.351
Mg1 Mg 0.500 0.500 0.172
Zn1 Zn 0.500 0.500 0.500
```

Calculated values
Magnetization = 0.00 μB/f.u.
Energy of formation from the pure elements = -0.175 eV/atom

=====

The following is a DFT calculation (PBE) of a geometry-optimized Nd4MgZn2 structure.

Structure (CIF):
```
data_Nd4MgZn2
_symmetry_space_group_name_H-M 'R -3 m'
_symmetry_Int_Tables_number 166
_symmetry_space_group_name_Hall '-R 3 2"'
_cell_length_a 5.2631
_cell_length_b 5.2631
_cell_length_c 26.2760
_cell_angle_alpha 90.00
_cell_angle_beta 90.00
_cell_angle_gamma 120.00
loop_
_atom_site_label
_atom_site_type_symbol
_atom_site_fract_x
_atom_site_fract_y
_atom_site_fract_z
Nd1 Nd 0.0000 0.0000 0.1213
Nd2 Nd 0.0000 0.0000 0.2874
Mg1 Mg 0.0000 0.0000 0.5000
Zn1 Zn 0.0000 0.0000 0.4022
```

Calculated values
Magnetization = 0.00 μB/f.u.
Energy above the most stable polymorph in this dataset = 0.1223 eV per atom
Energy of formation from the pure elements = 0.008 eV/atom

=====

The following is a DFT calculation (PBE) of a geometry-optimized Nd5MgZn4 structure.

Structure (CIF):
```
data_Nd5MgZn4
_symmetry_space_group_name_H-M 'P 4/m m m'
_symmetry_Int_Tables_number 123
_symmetry_space_group_name_Hall '-P 4 2'
_cell_length_a 3.705
_cell_length_b 3.705
_cell_length_c 18.885
_cell_angle_alpha 90.00
_cell_angle_beta 90.00
_cell_angle_gamma 90.00
loop_
_atom_site_label
_atom_site_type_symbol
_atom_site_fract_x
_atom_site_fract_y
_atom_site_fract_z
Nd1 Nd 0.000 0.000 0.000
Nd2 Nd 0.000 0.000 0.194
Nd3 Nd 0.000 0.000 0.385
Mg1 Mg 0.500 0.500 0.500
Zn1 Zn 0.500 0.500 0.097
Zn2 Zn 0.500 0.500 0.293
```

Calculated values
Magnetization = 0.00 μB/f.u.
Energy of formation from the pure elements = -0.268 eV/atom

=====

The following is a DFT calculation (PBE) of a geometry-optimized Nd5Mg4Zn structure.

Structure (CIF):
```
data_Nd5Mg4Zn
_symmetry_space_group_name_H-M 'P 4/m m m'
_symmetry_Int_Tables_number 123
_symmetry_space_group_name_Hall '-P 4 2'
_cell_length_a 3.822
_cell_length_b 3.822
_cell_length_c 19.463
_cell_angle_alpha 90.00
_cell_angle_beta 90.00
_cell_angle_gamma 90.00
loop_
_atom_site_label
_atom_site_type_symbol
_atom_site_fract_x
_atom_site_fract_y
_atom_site_fract_z
Nd1 Nd 0.000 0.000 0.000
Nd2 Nd 0.000 0.000 0.204
Nd3 Nd 0.000 0.000 0.411
Mg1 Mg 0.500 0.500 0.102
Mg2 Mg 0.500 0.500 0.305
Zn1 Zn 0.500 0.500 0.500
```

Calculated values
Magnetization = 0.00 μB/f.u.
Energy of formation from the pure elements = -0.148 eV/atom

=====

The following is a DFT calculation (PBE) of a geometry-optimized Nd6MgZn structure.

Structure (CIF):
```
data_Nd6MgZn
_symmetry_space_group_name_H-M 'P -1'
_symmetry_Int_Tables_number 2
_cell_length_a 6.291
_cell_length_b 6.303
_cell_length_c 6.331
_cell_angle_alpha 89.66
_cell_angle_beta 88.61
_cell_angle_gamma 89.12
loop_
_symmetry_equiv_pos_as_xyz
'x,y,z'
'-x,-y,-z'
loop_
_atom_site_label
_atom_site_type_symbol
_atom_site_fract_x
_atom_site_fract_y
_atom_site_fract_z
Nd1 Nd 0.026 0.467 0.252
Nd2 Nd 0.252 0.033 0.529
Nd3 Nd 0.473 0.748 0.042
Mg1 Mg 0.000 0.000 0.000
Zn1 Zn 0.500 0.500 0.500
```

Calculated values
Magnetization = 0.00 μB/f.u.
Energy above the most stable polymorph in this dataset = 0.1215 eV per atom
Energy of formation from the pure elements = 0.043 eV/atom

=====

The following is a DFT calculation (PBE) of a geometry-optimized NdMg2Zn6 structure.

Structure (CIF):
```
data_NdMg2Zn6
_symmetry_space_group_name_H-M 'P 6/m m m'
_symmetry_Int_Tables_number 191
_symmetry_space_group_name_Hall '-P 6 2'
_cell_length_a 7.8708
_cell_length_b 7.8708
_cell_length_c 3.2210
_cell_angle_alpha 90.00
_cell_angle_beta 90.00
_cell_angle_gamma 120.00
loop_
_atom_site_label
_atom_site_type_symbol
_atom_site_fract_x
_atom_site_fract_y
_atom_site_fract_z
Nd1 Nd 0.0000 0.0000 0.0000
Mg1 Mg 0.3333 0.6667 0.0000
Zn1 Zn 0.0000 0.3403 0.5000
```

Calculated values
Magnetization = 0.00 μB/f.u.
Energy above the most stable polymorph in this dataset = 0.0178 eV per atom
Energy of formation from the pure elements = -0.126 eV/atom

=====

The following is a DFT calculation (PBE) of a geometry-optimized Nd4MgZn3 structure.

Structure (CIF):
```
data_Nd4MgZn3
_symmetry_space_group_name_H-M 'P m m m'
_symmetry_Int_Tables_number 47
_cell_length_a 3.747
_cell_length_b 5.265
_cell_length_c 10.534
_cell_angle_alpha 90.00
_cell_angle_beta 90.00
_cell_angle_gamma 90.00
loop_
_symmetry_equiv_pos_as_xyz
'x,y,z'
'-x,-y,-z'
'-x,-y,z'
'x,y,-z'
'x,-y,-z'
'-x,y,z'
'-x,y,-z'
'x,-y,z'
loop_
_atom_site_label
_atom_site_type_symbol
_atom_site_fract_x
_atom_site_fract_y
_atom_site_fract_z
Nd1 Nd 0.000 0.000 0.000
Nd2 Nd 0.000 0.000 0.500
Nd3 Nd 0.000 0.500 0.239
Mg1 Mg 0.500 0.500 0.500
Zn1 Zn 0.500 0.000 0.256
Zn2 Zn 0.500 0.500 0.000
```

Calculated values
Magnetization = 0.00 μB/f.u.
Energy of formation from the pure elements = -0.251 eV/atom